# Cu2IrPb

Crystalline Cu2IrPb at its relaxed geometry (GGA-PBE, Alexandria).

Geometry as CIF:
```
data_Cu2IrPb
_chemical_formula_sum 'Cu2 Ir1 Pb1'
_symmetry_space_group_name_H-M 'P 1'
_symmetry_Int_Tables_number 1
_cell_length_a 3.193
_cell_length_b 3.193
_cell_length_c 6.399
_cell_angle_alpha 90.00
_cell_angle_beta 90.00
_cell_angle_gamma 90.00
loop_
_symmetry_equiv_pos_as_xyz
'x,y,z'
loop_
_atom_site_label
_atom_site_type_symbol
_atom_site_fract_x
_atom_site_fract_y
_atom_site_fract_z
Cu1 Cu 0.000 0.000 0.000
Cu2 Cu 0.500 0.500 0.180
Ir1 Ir 0.000 0.000 0.407
Pb1 Pb 0.500 0.500 0.689
```

* energy relative to the elements: 317 meV per atom
* DFT total energy: -4.8730 eV per atom